Entry from the Alexandria database: an optimized crystal structure of InMoN2F (PBE+U).

Cell: 4.0529 4.0529 4.3174 Å, 90.00 90.00 90.00°
Space group P4/mmm (No. 123)
Unique sites:
In: 0.0000 0.0000 0.0000 x1
Mo: 0.5000 0.5000 0.5000 x1
N: 0.0000 0.5000 0.5000 x2
F: 0.5000 0.5000 0.0000 x1

Results
Magnetization (μB per formula unit): 0.225
Energy above the lowest structure with this stoichiometry (kcal/mol of atoms): 0.00